LiInHg2: relaxed, PBE.

Computed properties:
The formation energy is -156 meV per atom. As for the density of states at the Fermi level: 1.37 states/eV per cell. As for the calculated density: 9.5 g cm⁻³.

```
LiInHg2
1.0
-5.412 0.176 -0.276
-4.340 -1.466 2.900
-1.345 4.095 2.570
Li Hg In
1 2 1
Cartesian
-8.307 2.254 3.968
-1.401 3.928 2.503
-2.792 0.753 1.331
-5.491 1.367 2.559
```

Pa2Ga3Pd: relaxed, PBE.

Computed properties:
The formation energy is -461 meV per atom. As for the density of states at the Fermi level: 14.81 states/eV per cell. As for the calculated density: 10.9 g cm⁻³.

```
Pa2Ga3Pd
1.0
0.434 -2.561 -4.981
-2.746 -3.295 3.628
-5.771 6.190 -1.603
Pa Ga Pd
4 6 2
Cartesian
-4.836 -0.017 0.674
-1.724 -4.366 -1.009
-3.247 0.351 -3.631
-0.588 -1.490 -0.344
-4.977 2.899 -4.040
-1.524 -2.199 -3.200
-3.106 -2.565 1.083
-6.559 2.533 0.243
-5.759 -0.760 -2.192
-2.324 1.094 -0.765
-4.623 2.177 -1.522
-3.460 -1.843 -1.435
```

LaEr2Ag2Sn2: relaxed, PBE.

Computed properties:
The formation energy is -478 meV per atom. As for the density of states at the Fermi level: 3.47 states/eV per cell. As for the calculated density: 8.5 g cm⁻³.

```
LaEr2Ag2Sn2
1.0
-4.805 0.647 0.645
-2.561 -3.197 2.672
-0.849 3.891 8.317
La Er Ag Sn
1 2 2 2
Cartesian
0.000 0.000 0.000
-1.499 1.973 5.400
-6.716 -0.632 6.234
-4.391 -0.167 4.543
-3.824 1.508 7.091
-6.108 1.162 8.963
-2.107 0.179 2.671
```

Li4Pt4Au: relaxed, PBE.

Computed properties:
The formation energy is -444 meV per atom. As for the density of states at the Fermi level: 4.91 states/eV per cell. As for the calculated density: 12.6 g cm⁻³.

```
Li4Pt4Au
1.0
3.783 0.000 1.281
1.892 5.762 0.641
0.043 0.000 6.098
Li Pt Au
4 4 1
Cartesian
1.935 1.976 6.739
3.783 3.786 1.281
4.460 5.762 5.508
1.258 0.000 2.512
1.274 3.837 2.464
4.444 1.925 5.556
3.165 1.925 3.105
2.552 3.837 4.915
0.000 0.000 0.000
```

In2FeP: relaxed, PBE.

Computed properties:
The formation energy is 464 meV per atom. As for the density of states at the Fermi level: 2.95 states/eV per cell. As for the calculated density: 7.1 g cm⁻³.

```
In2FeP
1.0
3.012 0.000 0.000
0.000 3.012 0.000
0.000 0.000 8.153
Fe In P
1 2 1
Cartesian
1.506 1.506 6.114
0.000 0.000 7.984
0.000 0.000 4.245
1.506 1.506 2.038
```

PmSmHgPb: relaxed, PBE.

Computed properties:
The formation energy is -497 meV per atom. As for the density of states at the Fermi level: 4.87 states/eV per cell. As for the calculated density: 10.2 g cm⁻³.

```
PmSmHgPb
1.0
5.449 0.000 0.000
2.724 4.719 0.000
2.724 1.573 4.449
Pb Hg Sm Pm
1 1 1 1
Cartesian
2.724 1.573 1.112
8.173 4.719 3.337
5.449 3.146 2.225
0.000 0.000 0.000
```

Number 1: final energy -1.4698 eV/atom. Number 2: final energy -6.0050 eV/atom. Number 3: final energy -4.4440 eV/atom. Number 4: final energy -4.3438 eV/atom. Number 5: final energy -4.3729 eV/atom. Number 6: final energy -3.8674 eV/atom.